No. 1
# MnAl

A geometry-optimized MnAl structure (PBE-GGA, Alexandria).

## Properties
Calculated total energy ... -5.175 eV/atom

a = 7.044 Å, b = 7.044 Å, c = 7.044 Å
α = 90.00°, β = 90.00°, γ = 90.00°
Site moments in Bohr magnetons follow the coordinates.
Element x y z (fractional)
Mn (0.250, 0.500, 0.000)  3.41
Mn (0.750, 0.500, 0.000)  3.41
Mn (0.500, 0.000, 0.250)  3.41
Mn (0.500, 0.000, 0.750)  3.41
Mn (0.000, 0.250, 0.500)  3.41
Mn (0.000, 0.750, 0.500)  3.41
Al (0.250, 0.000, 0.500)  -0.10
Al (0.750, 0.000, 0.500)  -0.10
Al (0.000, 0.500, 0.250)  -0.10
Al (0.000, 0.500, 0.750)  -0.10
Al (0.500, 0.250, 0.000)  -0.10
Al (0.500, 0.750, 0.000)  -0.10

No. 2
# Tl3HgRh

A geometry-optimized Tl3HgRh structure (PBE-GGA, Alexandria).

## Properties
ΔE to the lowest computed polymorph ... 69 meV per atom
Calculated total energy ... -2.904 eV/atom

a = 5.422 Å, b = 7.010 Å, c = 7.339 Å
α = 89.30°, β = 101.88°, γ = 102.95°
Element x y z (fractional)
Tl (0.103, 0.791, 0.230)
Tl (0.678, 0.859, 0.528)
Tl (0.514, 0.491, 0.150)
Tl (0.608, 0.011, 0.023)
Tl (0.062, 0.280, 0.385)
Tl (0.143, 0.642, 0.758)
Rh (0.955, 0.433, 0.042)
Rh (0.239, 0.978, 0.574)
Hg (0.604, 0.341, 0.679)
Hg (0.102, 0.150, 0.859)

No. 3
# Fe2SnPd

A geometry-optimized Fe2SnPd structure (PBE-GGA, Alexandria).

## Properties
Calculated total energy ... -6.639 eV/atom

a = 8.660 Å, b = 3.215 Å, c = 9.316 Å
α = 90.00°, β = 111.86°, γ = 90.00°
Site moments in Bohr magnetons follow the coordinates.
Element x y z (fractional)
Sn (0.795, 0.000, 0.347)  -0.06
Sn (0.205, 0.000, 0.653)  -0.06
Sn (0.795, 0.500, 0.847)  -0.06
Sn (0.205, 0.500, 0.153)  -0.06
Pd (0.088, 0.000, 0.893)  0.05
Pd (0.912, 0.000, 0.107)  0.05
Pd (0.088, 0.500, 0.393)  0.05
Pd (0.912, 0.500, 0.607)  0.05
Fe (0.448, 0.000, 0.129)  2.44
Fe (0.552, 0.000, 0.871)  2.44
Fe (0.448, 0.500, 0.629)  2.44
Fe (0.552, 0.500, 0.371)  2.44
Fe (0.649, 0.000, 0.592)  2.60
Fe (0.351, 0.000, 0.408)  2.60
Fe (0.649, 0.500, 0.092)  2.60
Fe (0.351, 0.500, 0.908)  2.60

No. 4
# CeHfZnAu

A geometry-optimized CeHfZnAu structure (PBE-GGA, Alexandria).

## Properties
Calculated total energy ... -5.320 eV/atom

a = 4.984 Å, b = 4.984 Å, c = 4.984 Å
α = 60.00°, β = 60.00°, γ = 60.00°
Site moments in Bohr magnetons follow the coordinates.
Element x y z (fractional)
Hf (0.750, 0.750, 0.750)  0.50
Zn (0.000, 0.000, 0.000)  0.01
Au (0.500, 0.500, 0.500)  0.06
Ce (0.250, 0.250, 0.250)  0.70

No. 5
# Ba3Sm3MgTe8

A geometry-optimized Ba3Sm3MgTe8 structure (PBE-GGA, Alexandria).

## Properties
Calculated total energy ... -4.563 eV/atom

a = 9.130 Å, b = 9.131 Å, c = 9.581 Å
α = 118.48°, β = 89.98°, γ = 120.01°
Element x y z (fractional)
Ba (0.000, 0.000, 0.000)
Ba (0.000, 0.500, 0.000)
Ba (0.500, 0.500, 0.000)
Sm (0.500, 0.000, 0.500)
Sm (0.500, 0.500, 0.500)
Sm (0.000, 0.500, 0.500)
Mg (0.000, 0.000, 0.500)
Te (0.260, 0.519, 0.279)
Te (0.740, 0.481, 0.721)
Te (0.766, 0.531, 0.287)
Te (0.234, 0.469, 0.713)
Te (0.766, 0.022, 0.287)
Te (0.234, 0.978, 0.713)
Te (0.256, 0.022, 0.287)
Te (0.744, 0.978, 0.713)

No. 6
# HoGa4CoPt2

A geometry-optimized HoGa4CoPt2 structure (PBE-GGA, Alexandria).

## Properties
Calculated total energy ... -5.088 eV/atom

a = 4.241 Å, b = 4.241 Å, c = 8.824 Å
α = 76.09°, β = 76.09°, γ = 60.00°
Site moments in Bohr magnetons follow the coordinates.
Element x y z (fractional)
Ho (0.000, 0.000, 0.000)  -0.01
Ga (0.399, 0.399, 0.804)  0.00
Ga (0.865, 0.865, 0.405)  -0.01
Ga (0.135, 0.135, 0.595)  -0.01
Ga (0.601, 0.601, 0.196)  0.00
Co (0.500, 0.500, 0.500)  0.57
Pt (0.761, 0.761, 0.717)  0.03
Pt (0.239, 0.239, 0.283)  0.03

Q: Among the records above, which one has the lowest calculated total energy?
A: Fe2SnPd

Q: What is the formula in the fourth record?
A: CeHfZnAu